{"formula": "CeErZn4", "functional": "PBE", "state": "optimized geometry", "space_group": "No. 216", "e_form_ev_per_atom": -0.30, "relative_energy_mev_per_atom": 15, "lattice": [[0.0000, 3.8648, 3.8648], [3.8648, 0.0000, 3.8648], [3.8648, 3.8648, 0.0000]], "species": ["Ce", "Er", "Zn", "Zn", "Zn", "Zn"], "frac_coords": [[0.0000, 0.0000, 0.0000], [0.2500, 0.2500, 0.2500], [0.1264, 0.6245, 0.6245], [0.6245, 0.1264, 0.6245], [0.6245, 0.6245, 0.1264], [0.6245, 0.6245, 0.6245]]}

{"formula": "NdTmMgAl", "functional": "PBE", "state": "optimized geometry", "space_group": "No. 216", "e_form_ev_per_atom": -0.26, "lattice": [[0.0000, 3.7108, 3.7108], [3.7108, 0.0000, 3.7108], [3.7108, 3.7108, 0.0000]], "species": ["Nd", "Tm", "Mg", "Al"], "frac_coords": [[0.0000, 0.0000, 0.0000], [0.5000, 0.5000, 0.5000], [0.2500, 0.2500, 0.2500], [0.7500, 0.7500, 0.7500]]}

{"formula": "Tb5CeDy8", "functional": "PBE", "state": "optimized geometry", "space_group": "No. 82", "e_form_ev_per_atom": 0.27, "lattice": [[-4.7212, 4.7212, 5.1113], [4.7212, -4.7212, 5.1113], [4.7212, 4.7212, -5.1113]], "species": ["Tb", "Tb", "Tb", "Tb", "Tb", "Ce", "Dy", "Dy", "Dy", "Dy", "Dy", "Dy", "Dy", "Dy"], "frac_coords": [[0.0000, 0.0000, 0.0000], [0.2152, 0.5371, 0.9007], [0.4629, 0.3636, 0.6781], [0.6364, 0.3146, 0.0993], [0.6854, 0.7848, 0.3219], [0.2500, 0.7500, 0.5000], [0.1637, 0.0684, 0.7373], [0.3311, 0.4265, 0.2627], [0.4239, 0.0300, 0.2501], [0.5735, 0.8363, 0.9047], [0.7800, 0.1739, 0.7499], [0.8261, 0.5761, 0.6061], [0.9316, 0.6689, 0.0953], [0.9700, 0.2200, 0.3939]]}

{"formula": "AgHg3", "functional": "PBE", "state": "optimized geometry", "space_group": "No. 166", "e_form_ev_per_atom": 0.07, "lattice": [[1.6150, 0.9324, 10.3650], [-1.6150, 0.9324, 10.3650], [0.0000, -1.8649, 10.3650]], "species": ["Ag", "Hg", "Hg", "Hg"], "frac_coords": [[0.0000, 0.0000, 0.0000], [0.2573, 0.2573, 0.2573], [0.5000, 0.5000, 0.5000], [0.7427, 0.7427, 0.7427]]}

{"formula": "Sm4TePSe2", "functional": "PBE", "state": "optimized geometry", "space_group": "No. 10", "energy_ev_per_atom": -5.984, "lattice": [[7.2580, 0.0000, 0.0000], [0.0000, 4.1941, 0.0000], [-2.4373, 0.0000, 7.0619]], "species": ["Sm", "Sm", "Sm", "Sm", "Te", "P", "Se", "Se"], "frac_coords": [[0.2381, 0.0000, 0.2235], [0.2549, 0.5000, 0.7800], [0.7451, 0.5000, 0.2200], [0.7619, 0.0000, 0.7765], [0.0000, 0.0000, 0.5000], [0.0000, 0.5000, 0.0000], [0.5000, 0.0000, 0.0000], [0.5000, 0.5000, 0.5000]]}

{"formula": "CaTlRu2", "functional": "PBE", "state": "optimized geometry", "space_group": "No. 139", "e_form_ev_per_atom": 0.52, "relative_energy_mev_per_atom": 328, "lattice": [[-2.1232, 2.1232, 4.2447], [2.1232, -2.1232, 4.2447], [2.1232, 2.1232, -4.2447]], "species": ["Ca", "Tl", "Ru", "Ru"], "frac_coords": [[0.0000, 0.0000, 0.0000], [0.5000, 0.5000, 0.0000], [0.2500, 0.7500, 0.5000], [0.7500, 0.2500, 0.5000]]}

{"formula": "Ho2Er4Mg", "functional": "PBE", "state": "optimized geometry", "space_group": "No. 11", "e_form_ev_per_atom": 0.11, "relative_energy_mev_per_atom": 0, "lattice": [[5.9416, 0.0000, 0.0000], [0.0000, 6.4704, 0.0000], [-2.9617, 0.0000, 10.9399]], "species": ["Ho", "Ho", "Ho", "Ho", "Er", "Er", "Er", "Er", "Er", "Er", "Er", "Er", "Mg", "Mg"], "frac_coords": [[0.1043, 0.2500, 0.0045], [0.2226, 0.2500, 0.5770], [0.7774, 0.7500, 0.4230], [0.8957, 0.7500, 0.9955], [0.1436, 0.5022, 0.2876], [0.1436, 0.9978, 0.2876], [0.3509, 0.7500, 0.5598], [0.4739, 0.7500, 0.1261], [0.5261, 0.2500, 0.8739], [0.6491, 0.2500, 0.4402], [0.8564, 0.0022, 0.7124], [0.8564, 0.4978, 0.7124], [0.3451, 0.7500, 0.8345], [0.6549, 0.2500, 0.1655]]}

| no. | volume (Å³/cell) |
| --- | --- |
| 1 | 115.46 |
| 2 | 102.19 |
| 3 | 455.72 |
| 4 | 93.65 |
| 5 | 214.97 |
| 6 | 76.54 |
| 7 | 420.58 |